Record 1
VASP calculation (PBE) on crystalline K2TeAuSe4 at its relaxed geometry.

Calculated values
**Total moment**: 0.0 μB per cell
**SG**: No. 15
**V**: 536.90 Å³ per cell
**ΔE_f (raw)**: -456 meV per atom
**Uncorrected energy**: -3.275 eV/atom
**DOS at the Fermi energy**: 1.080 states/eV/f.u.

abc: 7.881 7.881 11.695
angles: 118.38 118.38 90.21
Element x y z (fractional)
Te1 0.500 0.500 0.500
Se1 0.729 0.635 0.870
K1 0.500 0.000 0.500
Te2 0.000 0.000 0.000
Au1 0.000 0.500 0.000
Se2 0.312 0.774 0.622
K2 0.000 0.000 0.500
Se3 0.688 0.226 0.378
Se4 0.865 0.771 0.630
K3 0.500 0.000 0.000
Se5 0.274 0.812 0.122
Se6 0.271 0.365 0.130
Se7 0.726 0.188 0.878
K4 0.500 0.500 0.000
Au2 0.000 0.500 0.500
Se8 0.135 0.229 0.370

***

Record 2
VASP calculation (PBE) on crystalline K4Th3AuSe8 at its relaxed geometry.

Calculated values
**Total moment**: 0.0 μB per cell
**SG**: No. 12
**V**: 495.01 Å³ per cell
**ΔE_f (raw)**: -1370 meV per atom
**Uncorrected energy**: -4.982 eV/atom
**DOS at the Fermi energy**: 6.397 states/eV/f.u.

abc: 8.585 9.159 8.652
angles: 118.28 119.74 90.00
Element x y z (fractional)
Se1 0.762 0.294 0.034
K1 0.500 0.000 0.000
K2 0.500 0.000 0.500
Se2 0.263 0.285 0.525
Au1 0.000 0.500 0.000
Se3 0.244 0.711 0.488
Th1 0.000 0.500 0.500
K3 0.000 0.000 0.500
Se4 0.271 0.294 0.034
Th2 0.500 0.500 0.000
Se5 0.756 0.289 0.512
K4 0.000 0.000 0.000
Se6 0.729 0.706 0.966
Se7 0.737 0.715 0.475
Th3 0.500 0.500 0.500
Se8 0.238 0.706 0.966

***

Record 3
VASP calculation (PBE) on crystalline K3Th3AuSe8 at its relaxed geometry.

Calculated values
**Total moment**: 0.0 μB per cell
**SG**: No. 12
**V**: 496.81 Å³ per cell
**ΔE_f (raw)**: -1399 meV per atom
**Uncorrected energy**: -5.179 eV/atom

abc: 9.051 8.476 8.924
angles: 115.73 90.00 122.27
Element x y z (fractional)
Se1 0.313 0.047 0.277
K1 0.000 0.500 0.000
Se2 0.259 0.519 0.285
K2 0.500 0.500 0.000
Se3 0.266 0.953 0.723
Se4 0.687 0.953 0.723
K3 0.000 0.000 0.000
Se5 0.741 0.481 0.715
Se6 0.207 0.414 0.678
Th1 0.000 0.500 0.500
Th2 0.500 0.500 0.500
Se7 0.793 0.586 0.322
Au1 0.000 0.000 0.500
Th3 0.500 0.000 0.500
Se8 0.734 0.047 0.277

***

Record 4
VASP calculation (PBE) on crystalline K2TiAuSe4 at its relaxed geometry.

Calculated values
**Total moment**: 0.0 μB per cell
**SG**: No. 70
**V**: 493.51 Å³ per cell
**ΔE_f (raw)**: -906 meV per atom
**Uncorrected energy**: -4.319 eV/atom
**DOS at the Fermi energy**: 7.199 states/eV/f.u.

abc: 6.056 7.366 12.507
angles: 84.29 75.99 65.73
Element x y z (fractional)
Au1 0.250 0.500 0.500
Se1 0.810 0.710 0.616
Ti1 0.000 0.000 0.000
Se2 0.136 0.290 0.384
Se3 0.574 0.290 0.616
K1 0.569 0.500 0.862
Se4 0.270 0.790 0.116
Se5 0.614 0.210 0.116
Ti2 0.750 0.500 0.500
Se6 0.940 0.790 0.884
Se7 0.480 0.710 0.384
K2 0.819 0.000 0.362
Au2 0.500 0.000 0.000
K3 0.181 0.000 0.638
Se8 0.176 0.210 0.884
K4 0.931 0.500 0.138

***

Record 5
VASP calculation (PBE) on crystalline KTlAu2Se at its relaxed geometry.

Calculated values
**Total moment**: 0.8 μB per cell
**SG**: No. 123
**V**: 195.38 Å³ per cell
**ΔE_f (raw)**: 671 meV per atom
**Uncorrected energy**: -2.029 eV/atom
**DOS at the Fermi energy**: 6.132 states/eV/f.u.

abc: 5.791 5.825 5.791
angles: 90.00 90.00 90.00
Element x y z (fractional)
Au1 0.500 0.000 0.000
Se1 0.000 0.500 0.000
Au2 0.000 0.000 0.500
K1 0.000 0.000 0.000
Tl1 0.500 0.500 0.500

***

Record 6
VASP calculation (PBE) on crystalline KTm2AuSe4 at its relaxed geometry.

Calculated values
**Total moment**: 0.0 μB per cell
**SG**: No. 63
**V**: 423.42 Å³ per cell
**ΔE_f (raw)**: -1407 meV per atom
**Uncorrected energy**: -4.814 eV/atom

abc: 4.127 7.306 14.639
angles: 90.00 90.00 106.40
Element x y z (fractional)
Tm1 0.371 0.742 0.929
Se1 0.545 0.090 0.250
Au1 0.158 0.316 0.250
Tm2 0.371 0.742 0.571
Se2 0.000 0.000 0.000
Se3 0.455 0.910 0.750
Se4 0.737 0.473 0.601
Tm3 0.629 0.258 0.071
K1 0.128 0.256 0.750
K2 0.872 0.744 0.250
Se5 0.737 0.473 0.899
Se6 0.263 0.527 0.399
Au2 0.842 0.684 0.750
Se7 0.263 0.527 0.101
Se8 0.000 0.000 0.500
Tm4 0.629 0.258 0.429

***

Question: Number 3 is which compound?
Answer: K3Th3AuSe8

***

Copy entry 2 word for word.
VASP calculation (PBE) on crystalline K4Th3AuSe8 at its relaxed geometry.

Calculated values
**Total moment**: 0.0 μB per cell
**SG**: No. 12
**V**: 495.01 Å³ per cell
**ΔE_f (raw)**: -1370 meV per atom
**Uncorrected energy**: -4.982 eV/atom
**DOS at the Fermi energy**: 6.397 states/eV/f.u.

abc: 8.585 9.159 8.652
angles: 118.28 119.74 90.00
Element x y z (fractional)
Se1 0.762 0.294 0.034
K1 0.500 0.000 0.000
K2 0.500 0.000 0.500
Se2 0.263 0.285 0.525
Au1 0.000 0.500 0.000
Se3 0.244 0.711 0.488
Th1 0.000 0.500 0.500
K3 0.000 0.000 0.500
Se4 0.271 0.294 0.034
Th2 0.500 0.500 0.000
Se5 0.756 0.289 0.512
K4 0.000 0.000 0.000
Se6 0.729 0.706 0.966
Se7 0.737 0.715 0.475
Th3 0.500 0.500 0.500
Se8 0.238 0.706 0.966

***

Question: total moment of number 4 (K2TiAuSe4)?
Answer: 0.0 μB per cell